1.
FeNF2 | PBE with a Hubbard U | optimized geometry

Results
* symmetry: I-42d
* M_tot: 10.0 Bohr magnetons per cell
* crystal system: tetragonal
* final energy: -35.98 eV for the cell shown

a b c (Å): 7.549 7.549 7.549
angles (deg): 154.59 154.59 36.24
Fractional coordinates of all 8 atoms:
Fe1 0.000 0.000 0.000
Fe2 0.750 0.250 0.500
N1 0.250 0.750 0.500
N2 0.500 0.500 0.000
F1 0.115 0.625 0.990
F2 0.375 0.365 0.490
F3 0.635 0.125 0.010
F4 0.875 0.885 0.510



2.
FeNF2 | PBE with a Hubbard U | optimized geometry

Results
* symmetry: R-3m
* M_tot: 1.0 Bohr magnetons per cell
* crystal system: trigonal
* final energy: -18.56 eV for the cell shown

a b c (Å): 8.216 8.216 8.216
angles (deg): 22.62 22.62 22.62
Fractional coordinates of all 4 atoms:
Fe1 0.000 0.000 0.000
N1 0.500 0.500 0.500
F1 0.375 0.375 0.375
F2 0.625 0.625 0.625



3.
FeN3F6 | PBE with a Hubbard U | optimized geometry

Results
* symmetry: Fm-3m
* M_tot: 10.6 Bohr magnetons per cell
* crystal system: cubic
* final energy: -37.34 eV for the cell shown

a b c (Å): 5.435 5.435 5.435
angles (deg): 60.00 60.00 60.00
Fractional coordinates of all 10 atoms:
Fe1 0.000 0.000 0.000
N1 0.250 0.250 0.250
N2 0.500 0.500 0.500
N3 0.750 0.750 0.750
F1 0.258 0.258 0.742
F2 0.258 0.742 0.258
F3 0.258 0.742 0.742
F4 0.742 0.258 0.258
F5 0.742 0.258 0.742
F6 0.742 0.742 0.258



4.
FeNF3 | PBE with a Hubbard U | optimized geometry

Results
* symmetry: Pm-3m
* M_tot: 2.8 Bohr magnetons per cell
* crystal system: cubic
* final energy: -18.46 eV for the cell shown

a b c (Å): 3.844 3.844 3.844
angles (deg): 90.00 90.00 90.00
Fractional coordinates of all 5 atoms:
Fe1 0.000 0.000 0.000
N1 0.500 0.500 0.500
F1 0.000 0.500 0.500
F2 0.500 0.000 0.500
F3 0.500 0.500 0.000



5.
Fe2NF | PBE with a Hubbard U | optimized geometry

Results
* symmetry: Fm-3m
* M_tot: 8.0 Bohr magnetons per cell
* crystal system: cubic
* final energy: -21.95 eV for the cell shown

a b c (Å): 3.834 3.834 3.834
angles (deg): 60.00 60.00 60.00
Fractional coordinates of all 4 atoms:
Fe1 0.250 0.250 0.250
Fe2 0.750 0.750 0.750
N1 0.000 0.000 0.000
F1 0.500 0.500 0.500



6.
FeNF | PBE with a Hubbard U | optimized geometry

Results
* symmetry: C2/m
* M_tot: 6.5 Bohr magnetons per cell
* crystal system: monoclinic
* final energy: -37.57 eV for the cell shown

a b c (Å): 6.615 6.615 3.955
angles (deg): 107.32 107.32 28.66
Fractional coordinates of all 6 atoms:
Fe1 0.151 0.151 0.151
Fe2 0.849 0.849 0.849
N1 0.449 0.449 0.949
N2 0.551 0.551 0.051
F1 0.211 0.211 0.711
F2 0.789 0.789 0.289



What is the M_tot in the first record? 10.0 Bohr magnetons per cell